No. 1
VASP calculation (PBE) on a relaxed structure of Ag2GeH. Values from VASP.

ΔE to the lowest computed polymorph ... 261 meV/atom
Symmetry ... Fm-3m, No. 225

Geometry as Quantum ESPRESSO input:
```
&SYSTEM
  ibrav = 0, nat = 16, ntyp = 3
/
ATOMIC_SPECIES
Ag 107.87 Ag.upf
Ge 72.64 Ge.upf
H 1.01 H.upf
CELL_PARAMETERS angstrom
6.266 0.000 0.000
0.000 6.266 0.000
0.000 0.000 6.266
ATOMIC_POSITIONS angstrom
Ag 1.567 1.567 1.567
Ag 1.567 1.567 4.700
Ag 1.567 4.700 1.567
Ag 1.567 4.700 4.700
Ag 4.700 1.567 1.567
Ag 4.700 1.567 4.700
Ag 4.700 4.700 1.567
Ag 4.700 4.700 4.700
Ge 0.000 0.000 0.000
Ge 0.000 3.133 3.133
Ge 3.133 0.000 3.133
Ge 3.133 3.133 0.000
H 0.000 0.000 3.133
H 0.000 3.133 0.000
H 3.133 0.000 0.000
H 3.133 3.133 3.133
```



No. 2
VASP calculation (PBE) on a relaxed structure of Hf2AgGeH. Values from VASP.

Symmetry ... P4/mmm, No. 123

Geometry as Quantum ESPRESSO input:
```
&SYSTEM
  ibrav = 0, nat = 5, ntyp = 4
/
ATOMIC_SPECIES
Hf 178.49 Hf.upf
Ag 107.87 Ag.upf
Ge 72.64 Ge.upf
H 1.01 H.upf
CELL_PARAMETERS angstrom
4.268 0.000 0.000
0.000 4.268 0.000
0.000 0.000 4.344
ATOMIC_POSITIONS angstrom
Hf 0.000 2.134 0.000
Hf 2.134 0.000 0.000
Ag 0.000 0.000 2.172
Ge 2.134 2.134 2.172
H 2.134 2.134 0.000
```



No. 3
VASP calculation (PBE) on a relaxed structure of AgGe2HI. Values from VASP.

Symmetry ... P4/mmm, No. 123

Geometry as Quantum ESPRESSO input:
```
&SYSTEM
  ibrav = 0, nat = 5, ntyp = 4
/
ATOMIC_SPECIES
Ag 107.87 Ag.upf
Ge 72.64 Ge.upf
H 1.01 H.upf
I 126.90 I.upf
CELL_PARAMETERS angstrom
5.647 0.000 0.000
0.000 5.647 0.000
0.000 0.000 5.436
ATOMIC_POSITIONS angstrom
Ag 0.000 0.000 0.000
Ge 0.000 2.824 2.718
Ge 2.824 0.000 2.718
H 2.824 2.824 0.000
I 0.000 0.000 2.718
```



No. 4
VASP calculation (PBE) on a relaxed structure of LiAgGeH2. Values from VASP.

Symmetry ... P4/mmm, No. 123

Geometry as Quantum ESPRESSO input:
```
&SYSTEM
  ibrav = 0, nat = 5, ntyp = 4
/
ATOMIC_SPECIES
Li 6.94 Li.upf
Ag 107.87 Ag.upf
Ge 72.64 Ge.upf
H 1.01 H.upf
CELL_PARAMETERS angstrom
3.625 0.000 0.000
0.000 3.625 0.000
0.000 0.000 5.499
ATOMIC_POSITIONS angstrom
Li 0.000 0.000 0.000
Ag 1.813 1.813 0.000
Ge 0.000 0.000 2.749
H 0.000 1.813 2.749
H 1.813 0.000 2.749
```



No. 5
VASP calculation (PBE) on a relaxed structure of LiAg2GeH. Values from VASP.

Symmetry ... P4/mmm, No. 123

Geometry as Quantum ESPRESSO input:
```
&SYSTEM
  ibrav = 0, nat = 5, ntyp = 4
/
ATOMIC_SPECIES
Li 6.94 Li.upf
Ag 107.87 Ag.upf
Ge 72.64 Ge.upf
H 1.01 H.upf
CELL_PARAMETERS angstrom
4.285 0.000 0.000
0.000 4.285 0.000
0.000 0.000 3.816
ATOMIC_POSITIONS angstrom
Li 0.000 0.000 0.000
Ag 0.000 2.142 1.908
Ag 2.142 0.000 1.908
Ge 2.142 2.142 0.000
H 0.000 0.000 1.908
```



No. 6
VASP calculation (PBE) on a relaxed structure of MgAgGe2H. Values from VASP.

Symmetry ... P4/mmm, No. 123

Geometry as Quantum ESPRESSO input:
```
&SYSTEM
  ibrav = 0, nat = 5, ntyp = 4
/
ATOMIC_SPECIES
Mg 24.30 Mg.upf
Ag 107.87 Ag.upf
Ge 72.64 Ge.upf
H 1.01 H.upf
CELL_PARAMETERS angstrom
4.514 0.000 0.000
0.000 4.514 0.000
0.000 0.000 3.996
ATOMIC_POSITIONS angstrom
Mg 0.000 0.000 0.000
Ag 2.257 2.257 0.000
Ge 0.000 2.257 1.998
Ge 2.257 0.000 1.998
H 2.257 2.257 1.998
```



No. 7
VASP calculation (PBE) on a relaxed structure of Mg2AgGeH. Values from VASP.

Symmetry ... P4/mmm, No. 123

Geometry as Quantum ESPRESSO input:
```
&SYSTEM
  ibrav = 0, nat = 5, ntyp = 4
/
ATOMIC_SPECIES
Mg 24.30 Mg.upf
Ag 107.87 Ag.upf
Ge 72.64 Ge.upf
H 1.01 H.upf
CELL_PARAMETERS angstrom
4.512 0.000 0.000
0.000 4.512 0.000
0.000 0.000 3.880
ATOMIC_POSITIONS angstrom
Mg 0.000 2.256 0.000
Mg 2.256 0.000 0.000
Ag 0.000 0.000 1.940
Ge 2.256 2.256 1.940
H 0.000 0.000 0.000
```



No. 8
VASP calculation (PBE) on a relaxed structure of AgGeHPd2. Values from VASP.

Symmetry ... P4/mmm, No. 123

Geometry as Quantum ESPRESSO input:
```
&SYSTEM
  ibrav = 0, nat = 5, ntyp = 4
/
ATOMIC_SPECIES
Ag 107.87 Ag.upf
Ge 72.64 Ge.upf
H 1.01 H.upf
Pd 106.42 Pd.upf
CELL_PARAMETERS angstrom
4.025 0.000 0.000
0.000 4.025 0.000
0.000 0.000 4.163
ATOMIC_POSITIONS angstrom
Ag 0.000 0.000 0.000
Ge 2.012 2.012 0.000
H 0.000 0.000 2.082
Pd 0.000 2.012 2.082
Pd 2.012 0.000 2.082
```



No. 9
VASP calculation (PBE) on a relaxed structure of AgGeHPt2. Values from VASP.

Symmetry ... P4/mmm, No. 123

Geometry as Quantum ESPRESSO input:
```
&SYSTEM
  ibrav = 0, nat = 5, ntyp = 4
/
ATOMIC_SPECIES
Ag 107.87 Ag.upf
Ge 72.64 Ge.upf
H 1.01 H.upf
Pt 195.08 Pt.upf
CELL_PARAMETERS angstrom
5.049 0.000 0.000
0.000 5.049 0.000
0.000 0.000 4.781
ATOMIC_POSITIONS angstrom
Ag 0.000 0.000 0.000
Ge 0.000 0.000 2.391
H 2.524 2.524 2.391
Pt 0.000 2.524 0.000
Pt 2.524 0.000 0.000
```



No. 10
VASP calculation (PBE) on a relaxed structure of TcAgGeH2. Values from VASP.

Symmetry ... P4/mmm, No. 123

Geometry as Quantum ESPRESSO input:
```
&SYSTEM
  ibrav = 0, nat = 5, ntyp = 4
/
ATOMIC_SPECIES
Tc 98.00 Tc.upf
Ag 107.87 Ag.upf
Ge 72.64 Ge.upf
H 1.01 H.upf
CELL_PARAMETERS angstrom
3.695 0.000 0.000
0.000 3.695 0.000
0.000 0.000 4.813
ATOMIC_POSITIONS angstrom
Tc 0.000 0.000 0.000
Ag 1.848 1.848 2.406
Ge 0.000 0.000 2.406
H 0.000 1.848 0.000
H 1.848 0.000 0.000
```



No. 11
VASP calculation (PBE) on a relaxed structure of VAgGeH2. Values from VASP.

Symmetry ... P4/mmm, No. 123

Geometry as Quantum ESPRESSO input:
```
&SYSTEM
  ibrav = 0, nat = 5, ntyp = 4
/
ATOMIC_SPECIES
V 50.94 V.upf
Ag 107.87 Ag.upf
Ge 72.64 Ge.upf
H 1.01 H.upf
CELL_PARAMETERS angstrom
3.669 0.000 0.000
0.000 3.669 0.000
0.000 0.000 5.064
ATOMIC_POSITIONS angstrom
V 0.000 0.000 0.000
Ag 1.835 1.835 2.532
Ge 0.000 0.000 2.532
H 0.000 1.835 0.000
H 1.835 0.000 0.000
```



No. 12
VASP calculation (PBE) on a relaxed structure of AgGeH2W. Values from VASP.

Symmetry ... P4/mmm, No. 123

Geometry as Quantum ESPRESSO input:
```
&SYSTEM
  ibrav = 0, nat = 5, ntyp = 4
/
ATOMIC_SPECIES
Ag 107.87 Ag.upf
Ge 72.64 Ge.upf
H 1.01 H.upf
W 183.84 W.upf
CELL_PARAMETERS angstrom
3.773 0.000 0.000
0.000 3.773 0.000
0.000 0.000 5.419
ATOMIC_POSITIONS angstrom
Ag 0.000 0.000 0.000
Ge 0.000 0.000 2.709
H 0.000 1.886 2.709
H 1.886 0.000 2.709
W 1.886 1.886 0.000
```



No. 13
VASP calculation (PBE) on a relaxed structure of YAg2GeH. Values from VASP.

Symmetry ... P4/mmm, No. 123

Geometry as Quantum ESPRESSO input:
```
&SYSTEM
  ibrav = 0, nat = 5, ntyp = 4
/
ATOMIC_SPECIES
Y 88.91 Y.upf
Ag 107.87 Ag.upf
Ge 72.64 Ge.upf
H 1.01 H.upf
CELL_PARAMETERS angstrom
5.553 0.000 0.000
0.000 5.553 0.000
0.000 0.000 3.805
ATOMIC_POSITIONS angstrom
Y 0.000 0.000 0.000
Ag 0.000 2.777 0.000
Ag 2.777 0.000 0.000
Ge 2.777 2.777 1.903
H 0.000 0.000 1.903
```



No. 14
VASP calculation (PBE) on a relaxed structure of ZrAg2GeH. Values from VASP.

Symmetry ... P4/mmm, No. 123

Geometry as Quantum ESPRESSO input:
```
&SYSTEM
  ibrav = 0, nat = 5, ntyp = 4
/
ATOMIC_SPECIES
Zr 91.22 Zr.upf
Ag 107.87 Ag.upf
Ge 72.64 Ge.upf
H 1.01 H.upf
CELL_PARAMETERS angstrom
5.410 0.000 0.000
0.000 5.410 0.000
0.000 0.000 3.588
ATOMIC_POSITIONS angstrom
Zr 0.000 0.000 0.000
Ag 0.000 2.705 0.000
Ag 2.705 0.000 0.000
Ge 2.705 2.705 1.794
H 0.000 0.000 1.794
```



No. 15
VASP calculation (PBE) on a relaxed structure of HfAgGe2. Values from VASP.

Formation enthalpy at 0 K ... -0.18 eV/atom
ΔE to the lowest computed polymorph ... 0 meV/atom
Symmetry ... P4/mmm, No. 123

Geometry as Quantum ESPRESSO input:
```
&SYSTEM
  ibrav = 0, nat = 4, ntyp = 3
/
ATOMIC_SPECIES
Hf 178.49 Hf.upf
Ag 107.87 Ag.upf
Ge 72.64 Ge.upf
CELL_PARAMETERS angstrom
4.365 0.000 0.000
0.000 4.365 0.000
0.000 0.000 3.783
ATOMIC_POSITIONS angstrom
Hf 0.000 0.000 0.000
Ag 2.183 2.183 0.000
Ge 0.000 2.183 1.892
Ge 2.183 0.000 1.892
```



No. 16
VASP calculation (PBE) on a relaxed structure of HfAg2Ge2. Values from VASP.

Formation enthalpy at 0 K ... 0.04 eV/atom
ΔE to the lowest computed polymorph ... 0 meV/atom
Symmetry ... I4/mmm, No. 139

Geometry as Quantum ESPRESSO input:
```
&SYSTEM
  ibrav = 0, nat = 10, ntyp = 3
/
ATOMIC_SPECIES
Hf 178.49 Hf.upf
Ag 107.87 Ag.upf
Ge 72.64 Ge.upf
CELL_PARAMETERS angstrom
3.861 0.000 0.000
0.000 3.861 0.000
0.000 0.000 12.610
ATOMIC_POSITIONS angstrom
Hf 0.000 0.000 0.000
Hf 1.930 1.930 6.305
Ag 0.000 1.930 3.153
Ag 0.000 1.930 9.458
Ag 1.930 0.000 3.153
Ag 1.930 0.000 9.458
Ge 0.000 0.000 5.077
Ge 0.000 0.000 7.533
Ge 1.930 1.930 1.228
Ge 1.930 1.930 11.382
```



No. 17
VASP calculation (PBE) on a relaxed structure of HfAgGe3. Values from VASP.

Formation enthalpy at 0 K ... 0.88 eV/atom
ΔE to the lowest computed polymorph ... 293 meV/atom
Symmetry ... Pm-3m, No. 221

Geometry as Quantum ESPRESSO input:
```
&SYSTEM
  ibrav = 0, nat = 5, ntyp = 3
/
ATOMIC_SPECIES
Hf 178.49 Hf.upf
Ag 107.87 Ag.upf
Ge 72.64 Ge.upf
CELL_PARAMETERS angstrom
4.897 0.000 0.000
0.000 4.897 0.000
0.000 0.000 4.897
ATOMIC_POSITIONS angstrom
Hf 0.000 0.000 0.000
Ag 2.448 2.448 2.448
Ge 0.000 2.448 2.448
Ge 2.448 0.000 2.448
Ge 2.448 2.448 0.000
```



No. 18
VASP calculation (PBE) on a relaxed structure of Hf3AgGe. Values from VASP.

Formation enthalpy at 0 K ... 0.95 eV/atom
ΔE to the lowest computed polymorph ... 477 meV/atom
Symmetry ... Pm-3m, No. 221

Geometry as Quantum ESPRESSO input:
```
&SYSTEM
  ibrav = 0, nat = 5, ntyp = 3
/
ATOMIC_SPECIES
Hf 178.49 Hf.upf
Ag 107.87 Ag.upf
Ge 72.64 Ge.upf
CELL_PARAMETERS angstrom
5.049 0.000 0.000
0.000 5.049 0.000
0.000 0.000 5.049
ATOMIC_POSITIONS angstrom
Hf 0.000 0.000 2.524
Hf 0.000 2.524 0.000
Hf 2.524 0.000 0.000
Ag 0.000 0.000 0.000
Ge 2.524 2.524 2.524
```



No. 19
VASP calculation (PBE) on a relaxed structure of HfAgGe2. Values from VASP.

Formation enthalpy at 0 K ... 0.07 eV/atom
ΔE to the lowest computed polymorph ... 244 meV/atom
Symmetry ... Fm-3m, No. 225

Geometry as Quantum ESPRESSO input:
```
&SYSTEM
  ibrav = 0, nat = 16, ntyp = 3
/
ATOMIC_SPECIES
Hf 178.49 Hf.upf
Ag 107.87 Ag.upf
Ge 72.64 Ge.upf
CELL_PARAMETERS angstrom
6.688 0.000 0.000
0.000 6.688 0.000
0.000 0.000 6.688
ATOMIC_POSITIONS angstrom
Hf 0.000 0.000 0.000
Hf 0.000 3.344 3.344
Hf 3.344 0.000 3.344
Hf 3.344 3.344 0.000
Ag 0.000 0.000 3.344
Ag 0.000 3.344 0.000
Ag 3.344 0.000 0.000
Ag 3.344 3.344 3.344
Ge 1.672 1.672 1.672
Ge 1.672 1.672 5.016
Ge 1.672 5.016 1.672
Ge 1.672 5.016 5.016
Ge 5.016 1.672 1.672
Ge 5.016 1.672 5.016
Ge 5.016 5.016 1.672
Ge 5.016 5.016 5.016
```



No. 20
VASP calculation (PBE) on a relaxed structure of HfAgGe2. Values from VASP.

Formation enthalpy at 0 K ... 0.12 eV/atom
ΔE to the lowest computed polymorph ... 298 meV/atom
Symmetry ... I-42d, No. 122

Geometry as Quantum ESPRESSO input:
```
&SYSTEM
  ibrav = 0, nat = 16, ntyp = 3
/
ATOMIC_SPECIES
Hf 178.49 Hf.upf
Ag 107.87 Ag.upf
Ge 72.64 Ge.upf
CELL_PARAMETERS angstrom
4.209 0.000 0.000
0.000 4.209 0.000
0.000 0.000 18.339
ATOMIC_POSITIONS angstrom
Hf 0.000 0.000 0.000
Hf 0.000 2.104 4.585
Hf 2.104 0.000 13.755
Hf 2.104 2.104 9.170
Ag 0.000 0.000 9.170
Ag 0.000 2.104 13.755
Ag 2.104 0.000 4.585
Ag 2.104 2.104 0.000
Ge 1.043 1.052 11.462
Ge 1.052 3.147 16.047
Ge 1.052 3.166 6.877
Ge 1.062 1.052 2.292
Ge 3.147 3.157 2.292
Ge 3.157 1.043 6.877
Ge 3.157 1.062 16.047
Ge 3.166 3.157 11.462
```



| no. | ρ (Mg/m³) | electronic total energy (eV per cell) |
| --- | --- | --- |
| 1 | 7.8 | -44.82 |
| 2 | 11.3 | -30.99 |
| 3 | 3.7 | -9.42 |
| 4 | 4.4 | -13.98 |
| 5 | 7.0 | -15.41 |
| 6 | 5.7 | -15.83 |
| 7 | 4.8 | -14.09 |
| 8 | 9.7 | -21.49 |
| 9 | 7.8 | -14.49 |
| 10 | 7.1 | -22.05 |
| 11 | 5.7 | -21.21 |
| 12 | 7.9 | -20.27 |
| 13 | 5.4 | -17.44 |
| 14 | 6.0 | -18.74 |
| 15 | 9.9 | -22.74 |
| 16 | 9.5 | -49.39 |
| 17 | 7.1 | -22.28 |
| 18 | 9.2 | -32.58 |
| 19 | 9.6 | -87.07 |
| 20 | 8.8 | -86.20 |